{"formula": "Nd4SiAs2Br", "functional": "GGA-PBE", "state": "relaxed", "magnetic_moment_mub_per_cell": 0.00, "dft_energy_ev_per_atom": -5.7281, "formation_energy_uncorrected_ev_per_atom": -1.29, "dos_ef_per_ev_atom": 0.27, "spacegroup": "No. 10", "lattice": [[4.278, 0.000, 0.000], [0.000, 7.390, -0.166], [0.000, 2.582, 6.965]], "species": ["As", "As", "Br", "Nd", "Nd", "Nd", "Nd", "Si"], "frac_coords": [[0.000, 0.000, 0.000], [0.500, 0.000, 0.500], [0.500, 0.500, 0.000], [0.000, 0.765, 0.730], [0.500, 0.247, 0.741], [0.000, 0.235, 0.270], [0.500, 0.753, 0.259], [0.000, 0.500, 0.500]]}